Computed, not measured: a PBEsol-optimized structure of InBSb2Te at the SCAN level of DFT.

Output
Its space-group type is P4/mmm.

a b c (Å): 4.781 4.781 5.104
angles (deg): 90.00 90.00 90.00
Fractional positions:
In: 0.000 0.000 0.000
B: 0.500 0.500 0.500
Sb: 0.000 0.500 0.500
Sb: 0.500 0.000 0.500
Te: 0.500 0.500 0.000

---

Computed, not measured: a PBEsol-optimized structure of Sr3LaZnRuO8 at the SCAN level of DFT.

Output
Its space-group type is Amm2.

a b c (Å): 5.540 6.823 6.823
angles (deg): 47.74 90.00 90.00
Fractional positions:
Sr: 0.000 0.000 0.000
Sr: 0.000 0.285 0.285
Sr: 0.500 0.498 0.498
La: 0.500 0.783 0.783
Zn: 0.500 0.140 0.140
Ru: 0.000 0.640 0.640
O: 0.000 0.482 0.482
O: 0.000 0.803 0.803
O: 0.246 0.401 0.886
O: 0.246 0.886 0.401
O: 0.500 0.309 0.309
O: 0.500 0.964 0.964
O: 0.754 0.401 0.886
O: 0.754 0.886 0.401

---

Let's list raw formation energy in order: 3.4, -36.4 eV/f.u..